1.
A geometry-optimized CdSiAs2 structure. Source: Alexandria, functional PBE-GGA.

Structure (POSCAR):
```
CdSiAs2
1.0
3.5686 0.0000 0.0000
0.0000 4.6070 0.0000
0.0000 0.0000 4.7876
Cd Si As
1 1 2
direct
0.0000 0.0000 0.0000 Cd
0.5000 0.5000 0.0000 Si
0.0000 0.5000 0.5000 As
0.5000 0.0000 0.5000 As
```

Computed properties:
crystal system = orthorhombic
formation energy from raw total energies = 10.817 kcal/mol of atoms
symmetry = No. 47

---

2.
A geometry-optimized CdSi2As structure. Source: Alexandria, functional PBE-GGA.

Structure (POSCAR):
```
CdSi2As
1.0
-1.9331 1.9331 5.1062
1.9331 -1.9331 5.1062
1.9331 1.9331 -5.1062
Cd Si As
1 2 1
direct
0.0000 0.0000 0.0000 Cd
0.2500 0.7500 0.5000 Si
0.7500 0.2500 0.5000 Si
0.5000 0.5000 0.0000 As
```

Computed properties:
crystal system = tetragonal
formation energy from raw total energies = 12.135 kcal/mol of atoms
symmetry = No. 139

---

3.
A geometry-optimized CdSi2As structure. Source: Alexandria, functional PBE-GGA.

Structure (POSCAR):
```
CdSi2As
1.0
1.4243 -2.5060 0.0000
1.4243 2.5060 0.0000
0.0000 0.0000 10.3909
Cd Si As
1 2 1
direct
0.0000 0.0000 0.0000 Cd
0.5000 0.5000 0.2615 Si
0.5000 0.5000 0.7385 Si
0.0000 0.0000 0.5000 As
```

Computed properties:
crystal system = orthorhombic
formation energy from raw total energies = 11.397 kcal/mol of atoms
symmetry = No. 65

---

4.
A geometry-optimized CdSiAs2 structure. Source: Alexandria, functional PBE-GGA.

Structure (POSCAR):
```
CdSiAs2
1.0
4.6910 0.0000 0.0000
0.0000 3.6890 0.0000
-1.7678 0.0000 4.8673
Cd Si As
1 1 2
direct
0.0000 0.0000 0.0000 Cd
0.5000 0.0000 0.5000 Si
0.2478 0.5000 0.6886 As
0.7522 0.5000 0.3114 As
```

Computed properties:
crystal system = monoclinic
formation energy from raw total energies = 3.707 kcal/mol of atoms
symmetry = No. 10

---

5.
A geometry-optimized CdSiAs2 structure. Source: Alexandria, functional PBE-GGA.

Structure (POSCAR):
```
CdSiAs2
1.0
-1.7050 1.7985 6.8078
1.7050 -1.7985 6.8078
1.7050 1.7985 -6.8078
Cd Si As
1 1 2
direct
0.0000 0.0000 0.0000 Cd
0.2431 0.7431 0.5000 Si
0.3791 0.3791 0.0000 As
0.6694 0.1694 0.5000 As
```

Computed properties:
crystal system = orthorhombic
formation energy from raw total energies = 5.810 kcal/mol of atoms
symmetry = No. 44

---

6.
A geometry-optimized Cd2SiAs2 structure. Source: Alexandria, functional PBE-GGA.

Structure (POSCAR):
```
Cd2SiAs2
1.0
-2.0365 2.0365 6.8041
2.0365 -2.0365 6.8041
2.0365 2.0365 -6.8041
Cd Si As
2 1 2
direct
0.2500 0.7500 0.5000 Cd
0.7500 0.2500 0.5000 Cd
0.0000 0.0000 0.0000 Si
0.4039 0.4039 0.0000 As
0.5961 0.5961 0.0000 As
```

Computed properties:
crystal system = tetragonal
formation energy from raw total energies = 10.711 kcal/mol of atoms
symmetry = No. 139

---

7.
A geometry-optimized Cd2SiAs structure. Source: Alexandria, functional PBE-GGA.

Structure (POSCAR):
```
Cd2SiAs
1.0
3.5649 0.0000 0.0000
0.0000 3.5649 0.0000
0.0000 0.0000 6.7002
Cd Si As
2 1 1
direct
0.0000 0.0000 0.0000 Cd
0.5000 0.5000 0.2484 Cd
0.0000 0.0000 0.5692 Si
0.5000 0.5000 0.6721 As
```

Computed properties:
crystal system = tetragonal
formation energy from raw total energies = 5.510 kcal/mol of atoms
symmetry = No. 99

---

8.
A geometry-optimized CdSiSn2As4 structure. Source: Alexandria, functional PBE-GGA.

Structure (POSCAR):
```
CdSiSn2As4
1.0
0.0000 5.1595 4.8530
4.1838 0.0000 4.8530
4.1838 5.1595 0.0000
Cd Si Sn As
1 1 2 4
direct
0.0000 0.0000 0.0000 Cd
0.5023 0.5023 0.4977 Si
0.2619 0.2619 0.2381 Sn
0.7619 0.7619 0.7381 Sn
0.1275 0.5784 0.8725 As
0.3625 0.8082 0.1918 As
0.5784 0.1275 0.4216 As
0.8082 0.3625 0.6375 As
```

Computed properties:
crystal system = orthorhombic
formation energy from raw total energies = -0.162 kcal/mol of atoms
symmetry = No. 42

---

9.
A geometry-optimized TlCdSi2As structure. Source: Alexandria, functional PBE-GGA.

Structure (POSCAR):
```
TlCdSi2As
1.0
5.0187 0.0000 0.0000
0.0000 5.0187 0.0000
0.0000 0.0000 5.4889
Tl Cd Si As
1 1 2 1
direct
0.0000 0.0000 0.0000 Tl
0.0000 0.0000 0.5000 Cd
0.0000 0.5000 0.5000 Si
0.5000 0.0000 0.5000 Si
0.5000 0.5000 0.0000 As
```

Computed properties:
crystal system = tetragonal
formation energy from raw total energies = 25.173 kcal/mol of atoms
symmetry = No. 123

---

10.
A geometry-optimized ZrCdSiAs2 structure. Source: Alexandria, functional PBE-GGA.

Structure (POSCAR):
```
ZrCdSiAs2
1.0
4.9169 0.0000 0.0000
0.0000 4.9169 0.0000
0.0000 0.0000 5.5441
Zr Cd Si As
1 1 1 2
direct
0.0000 0.0000 0.0000 Zr
0.0000 0.0000 0.5000 Cd
0.5000 0.5000 0.0000 Si
0.0000 0.5000 0.5000 As
0.5000 0.0000 0.5000 As
```

Computed properties:
crystal system = tetragonal
formation energy from raw total energies = 27.098 kcal/mol of atoms
symmetry = No. 123

---

11.
A geometry-optimized Sm2CdAs structure. Source: Alexandria, functional PBE-GGA.

Structure (POSCAR):
```
Sm2CdAs
1.0
3.8272 0.0000 0.0000
0.0000 3.8272 0.0000
0.0000 0.0000 6.9627
Sm Cd As
2 1 1
direct
0.0000 0.0000 0.2318 Sm
0.0000 0.0000 0.7682 Sm
0.5000 0.5000 0.5000 Cd
0.5000 0.5000 0.0000 As
```

Computed properties:
crystal system = tetragonal
calculated formation energy = -71.2 kJ per mole of atoms
symmetry = No. 123

---

12.
A geometry-optimized Sm2CdAs structure. Source: Alexandria, functional PBE-GGA.

Structure (POSCAR):
```
Sm2CdAs
1.0
2.0634 1.1913 7.8456
-2.0634 1.1913 7.8456
0.0000 -2.3826 7.8456
Sm Cd As
2 1 1
direct
0.2375 0.2375 0.2375 Sm
0.7625 0.7625 0.7625 Sm
0.0000 0.0000 0.0000 Cd
0.5000 0.5000 0.5000 As
```

Computed properties:
crystal system = trigonal
calculated formation energy = -78.8 kJ per mole of atoms
symmetry = No. 166